Record 1
Material: Pr2YHo3Se6
Method: DFT, GGA-PBE
State: optimized geometry

* crystal system: monoclinic
* total magnetization: 0.0 μB/f.u.
* total DFT energy (no corrections): -5.994 eV per atom

```
data_Pr2YHo3Se6
_chemical_formula_sum 'Pr4 Y2 Ho6 Se12'
_cell_length_a 18.082
_cell_length_b 4.094
_cell_length_c 8.353
_cell_angle_alpha 90.00
_cell_angle_beta 104.42
_cell_angle_gamma 90.00
_symmetry_space_group_name_H-M 'C 1 2/m 1'
_symmetry_Int_Tables_number 12
_symmetry_space_group_name_Hall '-C 2y'
loop_
_atom_site_label
_atom_site_fract_x
_atom_site_fract_y
_atom_site_fract_z
Pr1 0.168 0.000 0.336
Y1 0.000 0.500 0.000
Ho1 0.000 0.500 0.500
Ho2 0.170 0.000 0.834
Se1 0.005 0.000 0.750
Se2 0.161 0.500 0.594
Se3 0.166 0.500 0.070
```

***

Record 2
Material: PrY2HoSe4
Method: DFT, GGA-PBE
State: optimized geometry

* crystal system: monoclinic
* total magnetization: 0.0 μB/f.u.
* total DFT energy (no corrections): -6.295 eV per atom

```
data_PrY2HoSe4
_chemical_formula_sum 'Pr1 Y2 Ho1 Se4'
_cell_length_a 7.125
_cell_length_b 4.069
_cell_length_c 7.238
_cell_angle_alpha 90.00
_cell_angle_beta 108.77
_cell_angle_gamma 90.00
_symmetry_space_group_name_H-M 'P 1 2/m 1'
_symmetry_Int_Tables_number 10
_symmetry_space_group_name_Hall '-P 2y'
loop_
_atom_site_label
_atom_site_fract_x
_atom_site_fract_y
_atom_site_fract_z
Pr1 0.000 0.000 0.000
Y1 0.500 0.000 0.500
Y2 0.500 0.500 0.000
Ho1 0.000 0.500 0.500
Se1 0.253 0.000 0.742
Se2 0.259 0.500 0.262
```

***

Record 3
Material: Pr2HoZnSe5
Method: DFT, GGA-PBE
State: optimized geometry

* crystal system: orthorhombic
* total magnetization: 0.0 μB/f.u.
* total DFT energy (no corrections): -5.245 eV per atom

```
data_Pr2HoZnSe5
_chemical_formula_sum 'Pr8 Ho4 Zn4 Se20'
_cell_length_a 4.042
_cell_length_b 17.908
_cell_length_c 12.511
_cell_angle_alpha 90.00
_cell_angle_beta 90.00
_cell_angle_gamma 90.00
_symmetry_space_group_name_H-M 'C m c 21'
_symmetry_Int_Tables_number 36
_symmetry_space_group_name_Hall 'C 2c -2'
loop_
_atom_site_label
_atom_site_fract_x
_atom_site_fract_y
_atom_site_fract_z
Pr1 0.000 0.115 0.000
Pr2 0.000 0.130 0.632
Ho1 0.000 0.198 0.331
Zn1 0.000 0.448 0.765
Se1 0.000 0.043 0.374
Se2 0.000 0.289 0.990
Se3 0.000 0.314 0.671
Se4 0.000 0.356 0.319
Se5 0.000 0.496 0.091
```

***

Record 4
Material: PrHoSi
Method: DFT, GGA-PBE
State: optimized geometry

* crystal system: trigonal
* total magnetization: 0.0 μB/f.u.
* total DFT energy (no corrections): -5.244 eV per atom

```
data_PrHoSi
_chemical_formula_sum 'Pr1 Ho1 Si1'
_cell_length_a 4.7101
_cell_length_b 4.7101
_cell_length_c 4.2759
_cell_angle_alpha 90.00
_cell_angle_beta 90.00
_cell_angle_gamma 120.00
_symmetry_space_group_name_H-M 'P 3 m 1'
_symmetry_Int_Tables_number 156
_symmetry_space_group_name_Hall 'P 3 -2"'
loop_
_atom_site_label
_atom_site_fract_x
_atom_site_fract_y
_atom_site_fract_z
Pr1 0.0000 0.0000 0.0000
Ho1 0.6667 0.3333 0.4706
Si1 0.3333 0.6667 0.6239
```

***

Record 5
Material: Pr2HoSi2
Method: DFT, GGA-PBE
State: optimized geometry

* crystal system: tetragonal
* total magnetization: 0.0 μB/f.u.
* total DFT energy (no corrections): -5.673 eV per atom

```
data_Pr2HoSi2
_chemical_formula_sum 'Pr4 Ho2 Si4'
_cell_length_a 7.631
_cell_length_b 7.631
_cell_length_c 4.435
_cell_angle_alpha 90.00
_cell_angle_beta 90.00
_cell_angle_gamma 90.00
_symmetry_space_group_name_H-M 'P 4/m b m'
_symmetry_Int_Tables_number 127
_symmetry_space_group_name_Hall '-P 4 2ab'
loop_
_atom_site_label
_atom_site_fract_x
_atom_site_fract_y
_atom_site_fract_z
Pr1 0.177 0.323 0.000
Ho1 0.000 0.000 0.500
Si1 0.114 0.614 0.500
```

***

Record 6
Material: Pr2HoSi2
Method: DFT, GGA-PBE
State: optimized geometry

* crystal system: monoclinic
* total magnetization: 0.0 μB/f.u.
* total DFT energy (no corrections): -5.616 eV per atom

```
data_Pr2HoSi2
_chemical_formula_sum 'Pr8 Ho4 Si8'
_cell_length_a 12.509
_cell_length_b 4.381
_cell_length_c 10.820
_cell_angle_alpha 90.00
_cell_angle_beta 116.94
_cell_angle_gamma 90.00
_symmetry_space_group_name_H-M 'C 1 2/m 1'
_symmetry_Int_Tables_number 12
_symmetry_space_group_name_Hall '-C 2y'
loop_
_atom_site_label
_atom_site_fract_x
_atom_site_fract_y
_atom_site_fract_z
Pr1 0.015 0.000 0.188
Pr2 0.179 0.000 0.591
Ho1 0.225 0.500 0.868
Si1 0.009 0.500 0.394
Si2 0.110 0.500 0.054
```

***

Record 7
Material: PrHo2Si2
Method: DFT, GGA-PBE
State: optimized geometry

* crystal system: monoclinic
* total magnetization: 0.6 μB/f.u.
* total DFT energy (no corrections): -5.443 eV per atom

```
data_PrHo2Si2
_chemical_formula_sum 'Pr2 Ho4 Si4'
_cell_length_a 5.588
_cell_length_b 4.207
_cell_length_c 11.331
_cell_angle_alpha 90.00
_cell_angle_beta 97.75
_cell_angle_gamma 90.00
_symmetry_space_group_name_H-M 'P 1 21/m 1'
_symmetry_Int_Tables_number 11
_symmetry_space_group_name_Hall '-P 2yb'
loop_
_atom_site_label
_atom_site_fract_x
_atom_site_fract_y
_atom_site_fract_z
Pr1 0.084 0.250 0.278
Ho1 0.245 0.250 0.954
Ho2 0.408 0.250 0.625
Si1 0.124 0.750 0.480
Si2 0.276 0.750 0.128
```

***

Record 8
Material: Pr3Ho3Si4
Method: DFT, GGA-PBE
State: optimized geometry

* crystal system: orthorhombic
* total magnetization: 0.0 μB/f.u.
* total DFT energy (no corrections): -5.656 eV per atom

```
data_Pr3Ho3Si4
_chemical_formula_sum 'Pr6 Ho6 Si8'
_cell_length_a 4.374
_cell_length_b 10.803
_cell_length_c 10.651
_cell_angle_alpha 90.00
_cell_angle_beta 90.00
_cell_angle_gamma 90.00
_symmetry_space_group_name_H-M 'A m m 2'
_symmetry_Int_Tables_number 38
_symmetry_space_group_name_Hall 'A 2 -2'
loop_
_atom_site_label
_atom_site_fract_x
_atom_site_fract_y
_atom_site_fract_z
Pr1 0.000 0.000 0.000
Pr2 0.000 0.178 0.327
Ho1 0.000 0.000 0.648
Ho2 0.500 0.249 0.075
Si1 0.500 0.000 0.214
Si2 0.500 0.000 0.446
Si3 0.500 0.113 0.819
```

***

Record 9
Material: PrHoSi
Method: DFT, GGA-PBE
State: optimized geometry

* crystal system: hexagonal
* total magnetization: 0.8 μB/f.u.
* total DFT energy (no corrections): -5.462 eV per atom

```
data_PrHoSi
_chemical_formula_sum 'Pr3 Ho3 Si3'
_cell_length_a 7.9735
_cell_length_b 7.9735
_cell_length_c 4.3199
_cell_angle_alpha 90.00
_cell_angle_beta 90.00
_cell_angle_gamma 120.00
_symmetry_space_group_name_H-M 'P -6 2 m'
_symmetry_Int_Tables_number 189
_symmetry_space_group_name_Hall 'P -6 -2'
loop_
_atom_site_label
_atom_site_fract_x
_atom_site_fract_y
_atom_site_fract_z
Pr1 0.0000 0.4061 0.0000
Ho1 0.0000 0.7411 0.5000
Si1 0.0000 0.0000 0.0000
Si2 0.3333 0.6667 0.5000
```

***

Record 10
Material: PrHoSi2
Method: DFT, GGA-PBE
State: optimized geometry

* crystal system: trigonal
* total magnetization: 0.0 μB/f.u.
* total DFT energy (no corrections): -5.523 eV per atom

```
data_PrHoSi2
_chemical_formula_sum 'Pr3 Ho3 Si6'
_cell_length_a 4.6398
_cell_length_b 4.6398
_cell_length_c 15.9248
_cell_angle_alpha 90.00
_cell_angle_beta 90.00
_cell_angle_gamma 120.00
_symmetry_space_group_name_H-M 'R -3 m'
_symmetry_Int_Tables_number 166
_symmetry_space_group_name_Hall '-R 3 2"'
loop_
_atom_site_label
_atom_site_fract_x
_atom_site_fract_y
_atom_site_fract_z
Pr1 0.0000 0.0000 0.0000
Ho1 0.0000 0.0000 0.5000
Si1 0.0000 0.0000 0.2390
```

***

Record 11
Material: PrHoSi
Method: DFT, GGA-PBE
State: optimized geometry

* crystal system: monoclinic
* total magnetization: 0.2 μB/f.u.
* total DFT energy (no corrections): -5.426 eV per atom

```
data_PrHoSi
_chemical_formula_sum 'Pr4 Ho4 Si4'
_cell_length_a 11.680
_cell_length_b 4.282
_cell_length_c 8.269
_cell_angle_alpha 90.00
_cell_angle_beta 127.52
_cell_angle_gamma 90.00
_symmetry_space_group_name_H-M 'C 1 2/m 1'
_symmetry_Int_Tables_number 12
_symmetry_space_group_name_Hall '-C 2y'
loop_
_atom_site_label
_atom_site_fract_x
_atom_site_fract_y
_atom_site_fract_z
Pr1 0.085 0.000 0.358
Ho1 0.179 0.500 0.077
Si1 0.121 0.500 0.663
```

***

Record 12
Material: Pr2HoSi
Method: DFT, GGA-PBE
State: optimized geometry

* crystal system: trigonal
* total magnetization: 0.0 μB/f.u.
* total DFT energy (no corrections): -4.957 eV per atom

```
data_Pr2HoSi
_chemical_formula_sum 'Pr6 Ho3 Si3'
_cell_length_a 3.8512
_cell_length_b 3.8512
_cell_length_c 29.8570
_cell_angle_alpha 90.00
_cell_angle_beta 90.00
_cell_angle_gamma 120.00
_symmetry_space_group_name_H-M 'R -3 m'
_symmetry_Int_Tables_number 166
_symmetry_space_group_name_Hall '-R 3 2"'
loop_
_atom_site_label
_atom_site_fract_x
_atom_site_fract_y
_atom_site_fract_z
Pr1 0.0000 0.0000 0.2317
Ho1 0.0000 0.0000 0.0000
Si1 0.0000 0.0000 0.5000
```

***

Question: Look up the total DFT energy (no corrections) of the seventh one.
Answer: -5.443 eV per atom

***

Question: What is the formula in the first record?
Answer: Pr2YHo3Se6